# SmYHg6

SmYHg6 after structural relaxation (PBE, the Alexandria database).

## Properties
DOS(E_F)   5.30 states/eV/f.u.
Formation enthalpy at 0 K   -0.366 eV per atom
Total energy   -15.9 eV per formula unit
E above lowest polymorph   0.00 eV/f.u.
Space group   Amm2 (38)

Lattice parameters (Å, degrees): 5.0335 6.6827 6.6827 60.64 90.00 90.00
Sites, in units of the cell vectors:
Sm: 0.0000 0.0000 0.0000
Y: 0.5000 0.3236 0.3236
Hg: 0.0000 0.4929 0.4929
Hg: 0.0000 0.5016 0.9914
Hg: 0.0000 0.9914 0.5016
Hg: 0.5000 0.3365 0.8201
Hg: 0.5000 0.8201 0.3365
Hg: 0.5000 0.8286 0.8286

***

# La5CePr6

La5CePr6 after structural relaxation (PBE, the Alexandria database).

## Properties
DOS(E_F)   25.34 states/eV/f.u.
Formation enthalpy at 0 K   0.034 eV per atom
Total energy   -58.8 eV per formula unit
Space group   Immm (71)

Lattice parameters (Å, degrees): 9.8216 9.8216 9.8216 149.14 115.35 73.35
Sites, in units of the cell vectors:
La: 0.0000 0.0000 0.0000
La: 0.1657 0.6657 0.5000
La: 0.3371 0.3371 0.0000
La: 0.6629 0.6629 0.0000
La: 0.8343 0.3343 0.5000
Ce: 0.5000 0.0000 0.5000
Pr: 0.0889 0.8352 0.2536
Pr: 0.2568 0.5000 0.7568
Pr: 0.4184 0.1648 0.2536
Pr: 0.5816 0.8352 0.7464
Pr: 0.7432 0.5000 0.2432
Pr: 0.9111 0.1648 0.7464

***

# Pr3W2N6

Pr3W2N6 after structural relaxation (PBE, the Alexandria database).

## Properties
DOS(E_F)   3.46 states/eV/f.u.
Total energy   -101.6 eV per formula unit
Space group   I4/mmm (139)

Lattice parameters (Å, degrees): 10.2985 10.2985 10.2985 157.54 157.54 31.97
Sites, in units of the cell vectors:
Pr: 0.0000 0.0000 0.0000
Pr: 0.1812 0.1812 0.0000
Pr: 0.8188 0.8188 0.0000
W: 0.4019 0.4019 0.0000
W: 0.5981 0.5981 0.0000
N: 0.0875 0.5875 0.5000
N: 0.3033 0.3033 0.0000
N: 0.4125 0.9125 0.5000
N: 0.5875 0.0875 0.5000
N: 0.6967 0.6967 0.0000
N: 0.9125 0.4125 0.5000

***

# InFePd6

InFePd6 after structural relaxation (PBE, the Alexandria database).

## Properties
DOS(E_F)   7.14 states/eV/f.u.
Formation enthalpy at 0 K   -0.263 eV per atom
Total energy   -44.5 eV per formula unit
E above lowest polymorph   0.00 eV/f.u.
Space group   P4/mmm (123)

Lattice parameters (Å, degrees): 3.9719 3.9719 7.9003 90.00 90.00 90.00
Sites, in units of the cell vectors:
In: 0.0000 0.0000 0.0000
Fe: 0.0000 0.0000 0.5000
Pd: 0.0000 0.5000 0.2621
Pd: 0.0000 0.5000 0.7379
Pd: 0.5000 0.0000 0.2621
Pd: 0.5000 0.0000 0.7379
Pd: 0.5000 0.5000 0.0000
Pd: 0.5000 0.5000 0.5000

***

# SrIrRh2

SrIrRh2 after structural relaxation (PBE, the Alexandria database).

## Properties
DOS(E_F)   4.39 states/eV/f.u.
Formation enthalpy at 0 K   0.303 eV per atom
Total energy   -24.0 eV per formula unit
E above lowest polymorph   1.75 eV/f.u.
Space group   P4/mmm (123)

Lattice parameters (Å, degrees): 4.2031 4.2031 4.0104 90.00 90.00 90.00
Sites, in units of the cell vectors:
Sr: 0.0000 0.0000 0.0000
Ir: 0.5000 0.5000 0.0000
Rh: 0.0000 0.5000 0.5000
Rh: 0.5000 0.0000 0.5000

***

# Pu3H3S

Pu3H3S after structural relaxation (PBE, the Alexandria database).

## Properties
DOS(E_F)   25.10 states/eV/f.u.
Total energy   -61.6 eV per formula unit
Space group   R-3 (148)

Lattice parameters (Å, degrees): 7.3202 7.3202 7.3202 53.62 53.62 53.62
Sites, in units of the cell vectors:
Pu: 0.0878 0.4025 0.7726
Pu: 0.2274 0.9122 0.5975
Pu: 0.4025 0.7726 0.0878
Pu: 0.5975 0.2274 0.9122
Pu: 0.7726 0.0878 0.4025
Pu: 0.9122 0.5975 0.2274
H: 0.1245 0.7715 0.4769
H: 0.2285 0.5231 0.8755
H: 0.4769 0.1245 0.7715
H: 0.5231 0.8755 0.2285
H: 0.7715 0.4769 0.1245
H: 0.8755 0.2285 0.5231
S: 0.3336 0.3336 0.3336
S: 0.6664 0.6664 0.6664